## BeIr2Os (PBE)

Data for an optimized crystal structure of BeIr2Os.

```
BeIr2Os
1.0
0.000 3.005 3.005
3.005 0.000 3.005
3.005 3.005 0.000
Be Ir Os
1 2 1
Direct
0.000 0.000 0.000 Be
0.500 0.500 0.500 Ir
0.750 0.750 0.750 Ir
0.250 0.250 0.250 Os
```

Results
VASP energy: -0.58078 Ry/atom

---

## ZrCoMoPb (PBE)

Data for an optimized crystal structure of ZrCoMoPb.

```
ZrCoMoPb
1.0
0.000 3.288 3.288
3.288 0.000 3.288
3.288 3.288 0.000
Zr Co Mo Pb
1 1 1 1
Direct
0.000 0.000 0.000 Zr
0.750 0.750 0.750 Co
0.250 0.250 0.250 Mo
0.500 0.500 0.500 Pb
```

Results
VASP energy: -0.53171 Ry/atom

---

## Sc2SiNi2 (PBE)

Data for an optimized crystal structure of Sc2SiNi2.

```
Sc2SiNi2
1.0
-1.812 1.812 6.020
1.812 -1.812 6.020
1.812 1.812 -6.020
Sc Si Ni
2 1 2
Direct
0.106 0.106 0.000 Sc
0.894 0.894 0.000 Sc
0.500 0.500 0.000 Si
0.250 0.750 0.500 Ni
0.750 0.250 0.500 Ni
```

Results
VASP energy: -0.43433 Ry/atom

---

## ThZr (PBE)

Data for an optimized crystal structure of ThZr.

```
ThZr
1.0
6.642 0.000 0.000
0.000 5.657 0.000
-1.644 0.000 8.768
Th Zr
6 6
Direct
0.030 0.250 0.095 Th
0.199 0.250 0.754 Th
0.314 0.750 0.243 Th
0.686 0.250 0.757 Th
0.801 0.750 0.246 Th
0.970 0.750 0.905 Th
0.143 0.750 0.566 Zr
0.366 0.250 0.427 Zr
0.472 0.750 0.908 Zr
0.528 0.250 0.092 Zr
0.634 0.750 0.573 Zr
0.857 0.250 0.434 Zr
```

Results
Energy of formation: 116 meV per atom

---

## Mg2ZrFe (PBE)

Data for an optimized crystal structure of Mg2ZrFe.

```
Mg2ZrFe
1.0
0.000 3.310 3.310
3.310 0.000 3.310
3.310 3.310 0.000
Mg Zr Fe
2 1 1
Direct
0.000 0.000 0.000 Mg
0.250 0.250 0.250 Mg
0.500 0.500 0.500 Zr
0.750 0.750 0.750 Fe
```

Results
VASP energy: -0.35375 Ry/atom

---

## HoScCF2 (PBE)

Data for an optimized crystal structure of HoScCF2.

```
HoScCF2
1.0
3.475 0.000 0.000
-1.738 3.010 0.000
0.000 0.000 6.236
Ho Sc C F
1 1 1 2
Direct
0.000 0.000 0.000 Ho
0.333 0.667 0.587 Sc
0.667 0.333 0.784 C
0.000 0.000 0.425 F
0.333 0.667 0.183 F
```

Results
VASP energy: -0.52700 Ry/atom

---

## Tb4InGe4Pd2 (PBE)

Data for an optimized crystal structure of Tb4InGe4Pd2.

```
Tb4InGe4Pd2
1.0
7.970 -2.150 0.000
7.970 2.150 0.000
-2.206 0.000 6.833
Tb In Ge Pd
4 1 4 2
Direct
0.089 0.089 0.386 Tb
0.156 0.156 0.926 Tb
0.844 0.844 0.074 Tb
0.911 0.911 0.614 Tb
0.500 0.500 0.000 In
0.307 0.307 0.754 Ge
0.440 0.440 0.338 Ge
0.560 0.560 0.662 Ge
0.693 0.693 0.246 Ge
0.283 0.283 0.358 Pd
0.717 0.717 0.642 Pd
```

Results
VASP energy: -0.39936 Ry/atom

---

## HfBeMoW (PBE)

Data for an optimized crystal structure of HfBeMoW.

```
HfBeMoW
1.0
0.000 3.161 3.161
3.161 0.000 3.161
3.161 3.161 0.000
Hf Be Mo W
1 1 1 1
Direct
0.000 0.000 0.000 Hf
0.750 0.750 0.750 Be
0.500 0.500 0.500 Mo
0.250 0.250 0.250 W
```

Results
VASP energy: -0.68104 Ry/atom